Tc2TeRh PBE-GGA optimized geometry; volume = 67 Å³/f.u.; DOS(E_F) = 4.13 states/eV per cell; magnetization = 0.00 μB/f.u.; E_form (uncorrected) = 0.2810 eV/atom; space-group type = No. 12
1.0
4.9678 0.0051 -0.0038
4.0170 2.9227 -0.0038
0.3938 0.1283 4.6047
Tc Te Rh
2 1 1
direct
0.0222 0.0222 0.9607
0.4778 0.4778 0.5393
0.2500 0.2500 0.2500
0.7500 0.7500 0.7500